(1)
DFT (PBE) results for an optimized crystal structure of Fe5Co4.

Energy relative to the elements ... 0.0546 eV per atom
Symmetry ... I4/mmm (139)

Cell and atoms, written as CIF:
```
data_Fe5Co4
_chemical_formula_sum 'Fe5 Co4'
_space_group_name_H-M_alt 'P 1'
_space_group_IT_number 1
_cell_length_a 5.636
_cell_length_b 5.636
_cell_length_c 5.636
_cell_angle_alpha 95.50
_cell_angle_beta 95.50
_cell_angle_gamma 143.93
loop_
_space_group_symop_operation_xyz
'x,y,z'
loop_
_atom_site_label
_atom_site_fract_x
_atom_site_fract_y
_atom_site_fract_z
_atom_site_occupancy
Co1 0.000 0.661 0.661 1
Co2 0.661 0.000 0.661 1
Fe1 0.331 0.669 0.000 1
Fe2 0.331 0.331 0.663 1
Fe3 0.669 0.331 0.000 1
Fe4 0.000 0.000 0.000 1
Co3 0.000 0.339 0.339 1
Co4 0.339 0.000 0.339 1
Fe5 0.669 0.669 0.337 1
```


(2)
DFT (PBE) results for an optimized crystal structure of Li4GaAg2Pb.

Symmetry ... P-4m2 (115)
VASP energy ... -22.30 eV per formula unit

Cell and atoms, written as CIF:
```
data_Li4GaAg2Pb
_chemical_formula_sum 'Li4 Ga1 Ag2 Pb1'
_space_group_name_H-M_alt 'P 1'
_space_group_IT_number 1
_cell_length_a 4.558
_cell_length_b 4.558
_cell_length_c 6.586
_cell_angle_alpha 90.00
_cell_angle_beta 90.00
_cell_angle_gamma 90.00
loop_
_space_group_symop_operation_xyz
'x,y,z'
loop_
_atom_site_label
_atom_site_fract_x
_atom_site_fract_y
_atom_site_fract_z
_atom_site_occupancy
Li1 0.000 0.500 0.772 1
Li2 0.000 0.000 0.500 1
Li3 0.500 0.500 0.000 1
Li4 0.500 0.000 0.228 1
Pb1 0.500 0.500 0.500 1
Ga1 0.000 0.000 0.000 1
Ag1 0.500 0.000 0.778 1
Ag2 0.000 0.500 0.222 1
```


(3)
DFT (PBE) results for an optimized crystal structure of SbAsOsO.

Symmetry ... P4/nmm (129)
ΔE to the lowest computed polymorph ... 0.871 eV per atom

Cell and atoms, written as CIF:
```
data_SbAsOsO
_chemical_formula_sum 'Sb2 As2 Os2 O2'
_space_group_name_H-M_alt 'P 1'
_space_group_IT_number 1
_cell_length_a 4.141
_cell_length_b 4.141
_cell_length_c 8.486
_cell_angle_alpha 90.00
_cell_angle_beta 90.00
_cell_angle_gamma 90.00
loop_
_space_group_symop_operation_xyz
'x,y,z'
loop_
_atom_site_label
_atom_site_fract_x
_atom_site_fract_y
_atom_site_fract_z
_atom_site_occupancy
As1 0.000 0.500 0.216 1
O1 0.000 0.000 0.000 1
Os1 0.500 0.000 0.072 1
As2 0.500 0.000 0.784 1
Os2 0.000 0.500 0.928 1
Sb1 0.500 0.500 0.500 1
Sb2 0.000 0.000 0.500 1
O2 0.500 0.500 0.000 1
```


(4)
DFT (PBE) results for an optimized crystal structure of PmPrNdPO2.

Symmetry ... P3m1 (156)
VASP energy ... -43.22 eV per formula unit

Cell and atoms, written as CIF:
```
data_PmPrNdPO2
_chemical_formula_sum 'Pm1 Pr1 Nd1 P1 O2'
_space_group_name_H-M_alt 'P 1'
_space_group_IT_number 1
_cell_length_a 3.767
_cell_length_b 3.767
_cell_length_c 9.140
_cell_angle_alpha 90.00
_cell_angle_beta 90.00
_cell_angle_gamma 120.00
loop_
_space_group_symop_operation_xyz
'x,y,z'
loop_
_atom_site_label
_atom_site_fract_x
_atom_site_fract_y
_atom_site_fract_z
_atom_site_occupancy
O1 0.667 0.333 0.854 1
Nd1 0.333 0.667 0.690 1
Pm1 0.667 0.333 0.309 1
P1 0.000 0.000 0.498 1
Pr1 0.000 0.000 0.000 1
O2 0.333 0.667 0.149 1
```


(5)
DFT (PBE) results for an optimized crystal structure of AcPd3.

Energy relative to the elements ... -0.7361 eV per atom
Symmetry ... R-3m (166)

Cell and atoms, written as CIF:
```
data_AcPd3
_chemical_formula_sum 'Ac3 Pd9'
_space_group_name_H-M_alt 'P 1'
_space_group_IT_number 1
_cell_length_a 5.530
_cell_length_b 5.530
_cell_length_c 9.739
_cell_angle_alpha 106.48
_cell_angle_beta 106.48
_cell_angle_gamma 59.99
loop_
_space_group_symop_operation_xyz
'x,y,z'
loop_
_atom_site_label
_atom_site_fract_x
_atom_site_fract_y
_atom_site_fract_z
_atom_site_occupancy
Ac1 0.862 0.862 0.587 1
Pd1 0.416 0.416 0.750 1
Ac2 0.138 0.138 0.413 1
Pd2 0.918 0.415 0.749 1
Pd3 0.500 0.500 0.500 1
Ac3 0.000 0.000 0.000 1
Pd4 0.333 0.333 0.999 1
Pd5 0.415 0.918 0.749 1
Pd6 0.667 0.667 0.001 1
Pd7 0.584 0.584 0.250 1
Pd8 0.585 0.082 0.251 1
Pd9 0.082 0.585 0.251 1
```


(6)
DFT (PBE) results for an optimized crystal structure of Pu4GeTe7.

Symmetry ... C2/m (12)
VASP energy ... -93.08 eV per formula unit

Cell and atoms, written as CIF:
```
data_Pu4GeTe7
_chemical_formula_sum 'Pu4 Ge1 Te7'
_space_group_name_H-M_alt 'P 1'
_space_group_IT_number 1
_cell_length_a 4.391
_cell_length_b 4.391
_cell_length_c 24.703
_cell_angle_alpha 90.04
_cell_angle_beta 90.04
_cell_angle_gamma 60.02
loop_
_space_group_symop_operation_xyz
'x,y,z'
loop_
_atom_site_label
_atom_site_fract_x
_atom_site_fract_y
_atom_site_fract_z
_atom_site_occupancy
Te1 0.667 0.667 0.646 1
Te2 0.333 0.333 0.070 1
Te3 0.000 0.000 0.782 1
Pu1 0.667 0.667 0.422 1
Te4 0.333 0.333 0.354 1
Pu2 0.667 0.667 0.150 1
Te5 0.667 0.667 0.930 1
Pu3 0.333 0.333 0.850 1
Pu4 0.333 0.333 0.578 1
Te6 0.000 0.000 0.500 1
Ge1 0.000 0.000 0.000 1
Te7 0.000 0.000 0.218 1
```


(7)
DFT (PBE) results for an optimized crystal structure of BeAgSO.

Symmetry ... Pbca (61)
ΔE to the lowest computed polymorph ... 0.577 eV per atom

Cell and atoms, written as CIF:
```
data_BeAgSO
_chemical_formula_sum 'Be8 Ag8 S8 O8'
_space_group_name_H-M_alt 'P 1'
_space_group_IT_number 1
_cell_length_a 7.152
_cell_length_b 11.956
_cell_length_c 5.716
_cell_angle_alpha 90.00
_cell_angle_beta 90.00
_cell_angle_gamma 90.00
loop_
_space_group_symop_operation_xyz
'x,y,z'
loop_
_atom_site_label
_atom_site_fract_x
_atom_site_fract_y
_atom_site_fract_z
_atom_site_occupancy
Ag1 0.603 0.258 0.473 1
Ag2 0.103 0.258 0.027 1
S1 0.111 0.437 0.782 1
S2 0.389 0.937 0.782 1
Be1 0.335 0.066 0.035 1
O1 0.338 0.172 0.887 1
S3 0.611 0.063 0.218 1
O2 0.838 0.328 0.113 1
Be2 0.165 0.566 0.035 1
Ag3 0.603 0.242 0.973 1
Ag4 0.897 0.758 0.473 1
O3 0.662 0.828 0.113 1
Be3 0.665 0.566 0.465 1
O4 0.162 0.672 0.887 1
Ag5 0.397 0.742 0.527 1
O5 0.838 0.172 0.613 1
Be4 0.665 0.934 0.965 1
O6 0.662 0.672 0.613 1
S4 0.611 0.437 0.718 1
Be5 0.835 0.066 0.465 1
O7 0.162 0.828 0.387 1
O8 0.338 0.328 0.387 1
S5 0.889 0.563 0.218 1
Ag6 0.897 0.742 0.973 1
Ag7 0.397 0.758 0.027 1
Be6 0.835 0.434 0.965 1
S6 0.111 0.063 0.282 1
Be7 0.165 0.934 0.535 1
S7 0.889 0.937 0.718 1
S8 0.389 0.563 0.282 1
Ag8 0.103 0.242 0.527 1
Be8 0.335 0.434 0.535 1
```


(8)
DFT (PBE) results for an optimized crystal structure of LaHoAu2.

Energy relative to the elements ... -0.8384 eV per atom
Symmetry ... Amm2 (38)

Cell and atoms, written as CIF:
```
data_LaHoAu2
_chemical_formula_sum 'La1 Ho1 Au2'
_space_group_name_H-M_alt 'P 1'
_space_group_IT_number 1
_cell_length_a 4.748
_cell_length_b 5.915
_cell_length_c 5.915
_cell_angle_alpha 37.72
_cell_angle_beta 90.00
_cell_angle_gamma 90.00
loop_
_space_group_symop_operation_xyz
'x,y,z'
loop_
_atom_site_label
_atom_site_fract_x
_atom_site_fract_y
_atom_site_fract_z
_atom_site_occupancy
Ho1 0.000 0.363 0.363 1
Au1 0.500 0.911 0.911 1
La1 0.500 0.639 0.639 1
Au2 0.000 0.087 0.087 1
```


(9)
DFT (PBE) results for an optimized crystal structure of Pr4PCBr2.

Symmetry ... P-3m1 (164)
VASP energy ... -46.45 eV per formula unit

Cell and atoms, written as CIF:
```
data_Pr4PCBr2
_chemical_formula_sum 'Pr4 P1 C1 Br2'
_space_group_name_H-M_alt 'P 1'
_space_group_IT_number 1
_cell_length_a 3.959
_cell_length_b 3.959
_cell_length_c 15.277
_cell_angle_alpha 90.00
_cell_angle_beta 90.00
_cell_angle_gamma 120.00
loop_
_space_group_symop_operation_xyz
'x,y,z'
loop_
_atom_site_label
_atom_site_fract_x
_atom_site_fract_y
_atom_site_fract_z
_atom_site_occupancy
Pr1 0.667 0.333 0.089 1
C1 0.000 0.000 0.000 1
Pr2 0.333 0.667 0.911 1
Br1 0.333 0.667 0.242 1
P1 0.000 0.000 0.500 1
Br2 0.667 0.333 0.758 1
Pr3 0.333 0.667 0.607 1
Pr4 0.667 0.333 0.393 1
```


(10)
DFT (PBE) results for an optimized crystal structure of Ni5S4.

Symmetry ... P2_1/c (14)
VASP energy ... -46.66 eV per formula unit

Cell and atoms, written as CIF:
```
data_Ni5S4
_chemical_formula_sum 'Ni10 S8'
_space_group_name_H-M_alt 'P 1'
_space_group_IT_number 1
_cell_length_a 6.019
_cell_length_b 4.131
_cell_length_c 10.160
_cell_angle_alpha 90.00
_cell_angle_beta 103.01
_cell_angle_gamma 90.00
loop_
_space_group_symop_operation_xyz
'x,y,z'
loop_
_atom_site_label
_atom_site_fract_x
_atom_site_fract_y
_atom_site_fract_z
_atom_site_occupancy
Ni1 0.773 0.343 0.310 1
S1 0.501 0.562 0.140 1
S2 0.916 0.366 0.633 1
S3 0.916 0.134 0.133 1
Ni2 0.669 0.827 0.997 1
S4 0.084 0.634 0.367 1
S5 0.501 0.938 0.640 1
S6 0.499 0.062 0.360 1
Ni3 0.669 0.673 0.497 1
Ni4 0.227 0.843 0.190 1
Ni5 0.000 0.000 0.500 1
Ni6 0.773 0.157 0.810 1
Ni7 0.000 0.500 0.000 1
Ni8 0.331 0.327 0.503 1
S7 0.084 0.866 0.867 1
Ni9 0.331 0.173 0.003 1
S8 0.499 0.438 0.860 1
Ni10 0.227 0.657 0.690 1
```